CoSiMo3 | PBE | relaxed

Properties
**Magnetic moment**: 0.000 μB/atom
**Uncorrected formation energy**: 1.3229 eV/atom

```
data_CoSiMo3
_symmetry_space_group_name_H-M 'P m -3 m'
_symmetry_Int_Tables_number 221
_symmetry_space_group_name_Hall '-P 4 2 3'
_cell_length_a 4.436
_cell_length_b 4.436
_cell_length_c 4.436
_cell_angle_alpha 90.00
_cell_angle_beta 90.00
_cell_angle_gamma 90.00
loop_
_atom_site_label
_atom_site_type_symbol
_atom_site_fract_x
_atom_site_fract_y
_atom_site_fract_z
Co1 Co 0.000 0.000 0.000
Si1 Si 0.500 0.500 0.500
Mo1 Mo 0.000 0.500 0.500
```



Al2CdAg6 | PBE | relaxed

Properties
**Magnetic moment**: 0.000 μB/atom
**Energy of formation**: -0.46 eV/f.u.

```
data_Al2CdAg6
_symmetry_space_group_name_H-M 'P -6 2 m'
_symmetry_Int_Tables_number 189
_symmetry_space_group_name_Hall 'P -6 -2'
_cell_length_a 7.8362
_cell_length_b 7.8362
_cell_length_c 2.9873
_cell_angle_alpha 90.00
_cell_angle_beta 90.00
_cell_angle_gamma 120.00
loop_
_atom_site_label
_atom_site_type_symbol
_atom_site_fract_x
_atom_site_fract_y
_atom_site_fract_z
Al1 Al 0.3333 0.6667 0.0000
Cd1 Cd 0.0000 0.0000 0.5000
Ag1 Ag 0.0000 0.3675 0.5000
Ag2 Ag 0.0000 0.6851 0.0000
```



Er3TiTl3O8 | PBE | relaxed

Properties
**Magnetic moment**: 0.000 μB/atom
**Uncorrected formation energy**: -2.5126 eV/atom

```
data_Er3TiTl3O8
_symmetry_space_group_name_H-M 'R -3 m'
_symmetry_Int_Tables_number 166
_symmetry_space_group_name_Hall '-R 3 2"'
_cell_length_a 6.6999
_cell_length_b 6.6999
_cell_length_c 19.6453
_cell_angle_alpha 90.00
_cell_angle_beta 90.00
_cell_angle_gamma 120.00
loop_
_atom_site_label
_atom_site_type_symbol
_atom_site_fract_x
_atom_site_fract_y
_atom_site_fract_z
Er1 Er 0.0000 0.5000 0.0000
Ti1 Ti 0.0000 0.0000 0.0000
Tl1 Tl 0.0000 0.5000 0.5000
O1 O 0.0000 0.0000 0.2776
O2 O 0.0317 0.5159 0.7202
```



| no. | calculated total energy (eV/atom) | calculated volume (Å³/f.u.) |
| --- | --- | --- |
| 1 | -7.68 | 87.3 |
| 2 | -2.89 | 158.9 |
| 3 | -7.07 | 254.6 |